1.
La2Tb6Nd | Alexandria via LeMat-Bulk | PBE-GGA | optimized geometry; formation enthalpy at 0 K = 0.6517 eV/atom; final energy = -0.149 Ha/atom
1.0
5.586 0.000 0.000
0.000 5.586 0.000
0.000 0.000 21.830
Tb La Nd
12 4 2
direct
0.728 0.728 0.881
0.272 0.272 0.881
0.272 0.272 0.119
0.728 0.728 0.119
0.828 0.172 0.000
0.228 0.772 0.381
0.772 0.228 0.619
0.772 0.228 0.381
0.172 0.828 0.000
0.328 0.328 0.500
0.672 0.672 0.500
0.228 0.772 0.619
0.500 0.500 0.735
0.500 0.500 0.265
0.000 0.000 0.765
0.000 0.000 0.235
0.500 0.500 0.000
0.000 0.000 0.500

2.
LaTb12Nd7 | Alexandria via LeMat-Bulk | PBE-GGA | optimized geometry; formation enthalpy at 0 K = 0.2243 eV/atom; final energy = -0.164 Ha/atom
1.0
-7.272 -2.597 4.238
4.564 -1.020 7.465
-1.747 8.307 2.351
Tb Nd La
12 7 1
direct
0.345 0.443 0.115
0.885 0.655 0.557
0.370 0.238 0.778
0.238 0.778 0.370
0.655 0.557 0.885
0.222 0.630 0.762
0.762 0.222 0.630
0.630 0.762 0.222
0.443 0.115 0.345
0.557 0.885 0.655
0.115 0.345 0.443
0.778 0.370 0.238
0.500 0.500 0.500
0.122 0.002 0.640
0.878 0.998 0.360
0.002 0.640 0.122
0.360 0.878 0.998
0.998 0.360 0.878
0.640 0.122 0.002
0.000 0.000 0.000

3.
La3TbNd6 | Alexandria via LeMat-Bulk | PBE-GGA | optimized geometry; formation enthalpy at 0 K = 0.1675 eV/atom; final energy = -0.170 Ha/atom
1.0
-0.432 -2.805 -5.740
9.939 -3.783 1.100
-5.672 -7.967 4.320
Nd Tb La
12 2 6
direct
0.073 0.440 0.320
0.402 0.565 0.985
0.620 0.258 0.742
0.733 0.061 0.939
0.402 0.015 0.435
0.573 0.560 0.680
0.902 0.985 0.565
0.233 0.939 0.061
0.073 0.680 0.560
0.573 0.320 0.440
0.120 0.742 0.258
0.902 0.435 0.015
0.183 0.155 0.845
0.683 0.845 0.155
0.955 0.721 0.865
0.455 0.865 0.721
0.090 0.365 0.635
0.455 0.279 0.135
0.955 0.135 0.279
0.590 0.635 0.365